Entry 1:
Here is an optimized crystal structure of LiTb2Er from Alexandria via LeMat-Bulk. Energies are from PBE.

Its crystal system is trigonal. The energy above the most stable polymorph in this dataset is 9.7 kJ/mol of atoms. As for the formation energy: 0.170 eV/atom.

The space group is R-3m (No. 166, hexagonal axes) and the conventional cell measures 3.4514, 3.4514 and 36.3810 Å, with angles of 90.00, 90.00 and 120.00 degrees. The inequivalent atoms are Li at (0.0000, 0.0000, 0.0000), Tb at (0.0000, 0.0000, 0.0891) and Er at (0.0000, 0.0000, 0.5000).


Entry 2:
Here is an optimized crystal structure of Pu4Pt3Rh2 from Alexandria via LeMat-Bulk. Energies are from PBE.

Its crystal system is trigonal. As for the formation energy: -0.568 eV/atom.

The space group is P-3m1 (No. 164) and the conventional cell measures 4.7622, 4.7622 and 9.1504 Å, with angles of 90.00, 90.00 and 120.00 degrees. The inequivalent atoms are Pu at (0.0000, 0.0000, 0.1592), Pu at (0.3333, 0.6667, 0.6331), Pt at (0.0000, 0.0000, 0.5000), Pt at (0.3333, 0.6667, 0.9950) and Rh at (0.3333, 0.6667, 0.3083).


Entry 3:
Here is an optimized crystal structure of KSrFe2 from Alexandria via LeMat-Bulk. Energies are from PBE.

Its crystal system is tetragonal. The energy above the most stable polymorph in this dataset is 48.2 kJ/mol of atoms. As for the formation energy: 1.099 eV/atom.

The space group is I-4m2 (No. 119) and the conventional cell measures 5.138, 5.138 and 7.246 Å, with angles of 90.00, 90.00 and 90.00 degrees. The inequivalent atoms are K at (0.000, 0.000, 0.000), Sr at (0.000, 0.500, 0.250), Fe at (0.000, 0.000, 0.500) and Fe at (0.000, 0.500, 0.750).


Entry 4:
Here is an optimized crystal structure of Fe2NiPd from Alexandria via LeMat-Bulk. Energies are from PBE.

Its crystal system is tetragonal. The energy above the most stable polymorph in this dataset is 0.1 kJ/mol of atoms. As for the formation energy: -0.037 eV/atom.

The space group is I4/mmm (No. 139) and the conventional cell measures 3.678, 3.678 and 7.465 Å, with angles of 90.00, 90.00 and 90.00 degrees. The inequivalent atoms are Fe at (0.000, 0.500, 0.250), Ni at (0.000, 0.000, 0.000) and Pd at (0.000, 0.000, 0.500).


Entry 5:
Here is an optimized crystal structure of RbOs3S from Alexandria via LeMat-Bulk. Energies are from PBE.

Its crystal system is cubic. The calculation puts the formation energy from raw total energies at 155.54 kJ/mol of atoms. The energy above the most stable polymorph in this dataset is 0.0 kJ/mol of atoms.

The space group is Pm-3m (No. 221) and the conventional cell measures 4.532, 4.532 and 4.532 Å, with angles of 90.00, 90.00 and 90.00 degrees. The inequivalent atoms are Rb at (0.000, 0.000, 0.000), Os at (0.000, 0.500, 0.500) and S at (0.500, 0.500, 0.500).


Entry 6:
Here is an optimized crystal structure of LaHgS2O8 from Alexandria via LeMat-Bulk. Energies are from PBE.

Its crystal system is trigonal. The calculation puts the formation energy from raw total energies at -163.03 kJ/mol of atoms.

The space group is P-3m1 (No. 164) and the conventional cell measures 5.2895, 5.2895 and 8.3454 Å, with angles of 90.00, 90.00 and 120.00 degrees. The inequivalent atoms are La at (0.0000, 0.0000, 0.0000), Hg at (0.0000, 0.0000, 0.5000), S at (0.3333, 0.6667, 0.1761), O at (0.1789, 0.3579, 0.2319) and O at (0.3333, 0.6667, 0.9960).


Entry 7:
Here is an optimized crystal structure of LiCoSN2 from Alexandria via LeMat-Bulk. Energies are from PBE.

Its crystal system is tetragonal. The calculation puts the formation energy from raw total energies at 169.71 kJ/mol of atoms.

The space group is P4/mmm (No. 123) and the conventional cell measures 3.509, 3.509 and 4.527 Å, with angles of 90.00, 90.00 and 90.00 degrees. The inequivalent atoms are Li at (0.000, 0.000, 0.000), Co at (0.500, 0.500, 0.500), S at (0.000, 0.000, 0.500) and N at (0.000, 0.500, 0.000).


Entry 8:
Here is an optimized crystal structure of ScAsCl2 from Alexandria via LeMat-Bulk. Energies are from PBE.

Its crystal system is cubic. The calculation puts the formation energy from raw total energies at -44.67 kJ/mol of atoms. The energy above the most stable polymorph in this dataset is 67.0 kJ/mol of atoms.

The space group is Fm-3m (No. 225) and the conventional cell measures 6.762, 6.762 and 6.762 Å, with angles of 90.00, 90.00 and 90.00 degrees. The inequivalent atoms are Sc at (0.000, 0.000, 0.000), As at (0.000, 0.000, 0.500) and Cl at (0.250, 0.250, 0.250).


Entry 9:
Here is an optimized crystal structure of HfZr6Sc from Alexandria via LeMat-Bulk. Energies are from PBE.

Its crystal system is orthorhombic. The energy above the most stable polymorph in this dataset is 0.7 kJ/mol of atoms. As for the formation energy: -0.013 eV/atom.

The space group is Amm2 (No. 38) and the conventional cell measures 5.135, 6.480 and 11.200 Å, with angles of 90.00, 90.00 and 90.00 degrees. The inequivalent atoms are Hf at (0.000, 0.000, 0.000), Zr at (0.000, 0.249, 0.249), Zr at (0.500, 0.000, 0.166), Zr at (0.500, 0.000, 0.668), Zr at (0.500, 0.247, 0.917) and Sc at (0.000, 0.000, 0.500).


Entry 10:
Here is an optimized crystal structure of Rb2TeC2 from Alexandria via LeMat-Bulk. Energies are from PBE.

Its crystal system is tetragonal. The calculation puts the formation energy from raw total energies at 155.19 kJ/mol of atoms. The energy above the most stable polymorph in this dataset is 97.5 kJ/mol of atoms.

The space group is I4/mmm (No. 139) and the conventional cell measures 3.156, 3.156 and 22.053 Å, with angles of 90.00, 90.00 and 90.00 degrees. The inequivalent atoms are Rb at (0.000, 0.000, 0.134), Te at (0.000, 0.000, 0.500) and C at (0.000, 0.500, 0.250).


Entry 11:
Here is an optimized crystal structure of TlAgMo2 from Alexandria via LeMat-Bulk. Energies are from PBE.

Its crystal system is orthorhombic. The energy above the most stable polymorph in this dataset is 23.0 kJ/mol of atoms. As for the formation energy: 0.680 eV/atom.

The space group is Pmmm (No. 47) and the conventional cell measures 2.846, 4.527 and 5.607 Å, with angles of 90.00, 90.00 and 90.00 degrees. The inequivalent atoms are Tl at (0.000, 0.000, 0.000), Ag at (0.000, 0.000, 0.500) and Mo at (0.500, 0.500, 0.278).


Entry 12:
Here is an optimized crystal structure of CrSi3Br from Alexandria via LeMat-Bulk. Energies are from PBE.

Its crystal system is cubic. The calculation puts the formation energy from raw total energies at 33.02 kJ/mol of atoms. The energy above the most stable polymorph in this dataset is 0.0 kJ/mol of atoms.

The space group is Pm-3m (No. 221) and the conventional cell measures 4.607, 4.607 and 4.607 Å, with angles of 90.00, 90.00 and 90.00 degrees. The inequivalent atoms are Cr at (0.000, 0.000, 0.000), Si at (0.000, 0.000, 0.500) and Br at (0.500, 0.500, 0.500).


Entry 13:
Here is an optimized crystal structure of RbSnC2Se from Alexandria via LeMat-Bulk. Energies are from PBE.

Its crystal system is tetragonal. The calculation puts the formation energy from raw total energies at 210.79 kJ/mol of atoms. The energy above the most stable polymorph in this dataset is 0.0 kJ/mol of atoms.

The space group is P4/mmm (No. 123) and the conventional cell measures 4.502, 4.502 and 5.507 Å, with angles of 90.00, 90.00 and 90.00 degrees. The inequivalent atoms are Rb at (0.000, 0.000, 0.000), Sn at (0.500, 0.500, 0.000), C at (0.000, 0.500, 0.500) and Se at (0.500, 0.500, 0.500).


E values, unit eV per atom, following the record order: -3.764; -10.585; -3.827; -7.012; -6.145; -6.119; -4.201; -4.132; -8.459; -3.097; -6.040; -5.171; -3.196.